Entry 1:
First-principles (PBE) data for CaReTe2 after structural relaxation, as listed in the Alexandria database.

The calculation puts the total energy at -0.1853 Ha/atom. For the calculated volume, the calculation gives 182 Å³ per cell. The density of states at the Fermi level comes out at 0.982 states/eV per atom.

It has space group Cmmm (No. 65), with a = 4.5587 Å, b = 5.2288 Å, c = 7.6424 Å, α = 90.00°, β = 90.00° and γ = 90.00°. The distinct sites, in fractional coordinates, are Ca at (0.0000, 0.0000, 0.0000), Re at (0.0000, 0.0000, 0.5000) and Te at (0.0000, 0.5000, 0.2850).



Entry 2:
First-principles (PBE) data for LiAgMo2 after structural relaxation, as listed in the Alexandria database.

The energy of formation is 49 kJ per mole of atoms. The calculation puts the total energy at -0.2242 Ha/atom. For the calculated volume, the calculation gives 64 Å³ per cell. The density of states at the Fermi level comes out at 0.799 states/eV per atom.

It has space group P4/mmm (No. 123), with a = 2.6200 Å, b = 2.6200 Å, c = 9.3177 Å, α = 90.00°, β = 90.00° and γ = 90.00°. The distinct sites, in fractional coordinates, are Li at (0.0000, 0.0000, 0.0000), Ag at (0.0000, 0.0000, 0.5000) and Mo at (0.5000, 0.5000, 0.2474).



Entry 3:
First-principles (PBE) data for CdAg2Rh after structural relaxation, as listed in the Alexandria database.

The energy of formation is 11 kJ per mole of atoms. The calculation puts the total energy at -0.1240 Ha/atom. For the calculated volume, the calculation gives 209 Å³ per cell. The density of states at the Fermi level comes out at 0.646 states/eV per atom.

It has space group R-3m (No. 166, hexagonal axes), with a = 2.8949 Å, b = 2.8949 Å, c = 28.8244 Å, α = 90.00°, β = 90.00° and γ = 120.00°. The distinct sites, in fractional coordinates, are Cd at (0.0000, 0.0000, 0.0000), Ag at (0.0000, 0.0000, 0.2465) and Rh at (0.0000, 0.0000, 0.5000).



Entry 4:
First-principles (PBE) data for PmTlCuBr5 after structural relaxation, as listed in the Alexandria database.

The calculation puts the total energy at -0.1340 Ha/atom. For the calculated volume, the calculation gives 1152 Å³ per cell. The density of states at the Fermi level comes out at 0.000 states/eV per atom.

It has space group C2/c (No. 15), with a = 9.3375 Å, b = 12.5861 Å, c = 10.6914 Å, α = 90.00°, β = 113.57° and γ = 90.00°. The distinct sites, in fractional coordinates, are Pm at (0.0000, 0.0000, 0.0000), Tl at (0.0000, 0.3607, 0.2500), Cu at (0.0000, 0.3097, 0.7500), Br at (0.0000, 0.0882, 0.2500), Br at (0.1177, 0.2034, 0.6228) and Br at (0.1825, 0.4297, 0.9297).



Entry 5:
First-principles (PBE) data for CsGaRe3 after structural relaxation, as listed in the Alexandria database.

The energy of formation is 391 kJ per mole of atoms. The calculation puts the total energy at -0.1541 Ha/atom. For the calculated volume, the calculation gives 124 Å³ per cell. The density of states at the Fermi level comes out at 1.075 states/eV per atom.

It has space group Pm-3m (No. 221), with a = 4.9908 Å, b = 4.9908 Å, c = 4.9908 Å, α = 90.00°, β = 90.00° and γ = 90.00°. The distinct sites, in fractional coordinates, are Cs at (0.0000, 0.0000, 0.0000), Ga at (0.5000, 0.5000, 0.5000) and Re at (0.0000, 0.0000, 0.5000).



Entry 6:
First-principles (PBE) data for TlNiOs2 after structural relaxation, as listed in the Alexandria database.

The energy of formation is 66 kJ per mole of atoms. The calculation puts the total energy at -0.2561 Ha/atom. For the calculated volume, the calculation gives 126 Å³ per cell. The density of states at the Fermi level comes out at 1.229 states/eV per atom.

It has space group Immm (No. 71), with a = 2.7979 Å, b = 4.3955 Å, c = 10.2554 Å, α = 90.00°, β = 90.00° and γ = 90.00°. The distinct sites, in fractional coordinates, are Tl at (0.0000, 0.0000, 0.0000), Ni at (0.0000, 0.0000, 0.5000) and Os at (0.0000, 0.5000, 0.2139).



Entry 7:
First-principles (PBE) data for PrHoSeS2 after structural relaxation, as listed in the Alexandria database.

The calculation puts the total energy at -0.2133 Ha/atom. For the calculated volume, the calculation gives 545 Å³ per cell.

It has space group Cmcm (No. 63), with a = 6.2986 Å, b = 13.7694 Å, c = 6.2832 Å, α = 90.00°, β = 90.00° and γ = 90.00°. The distinct sites, in fractional coordinates, are Pr at (0.0000, 0.1219, 0.2500), Ho at (0.0000, 0.4018, 0.2500), Se at (0.0000, 0.2504, 0.7500) and S at (0.2483, 0.0000, 0.0000).



Entry 8:
First-principles (PBE) data for Ho2Er9Tm3 after structural relaxation, as listed in the Alexandria database.

The energy of formation is 32 kJ per mole of atoms. The calculation puts the total energy at -0.1548 Ha/atom. For the calculated volume, the calculation gives 893 Å³ per cell. The density of states at the Fermi level comes out at 1.266 states/eV per atom.

It has space group C2/m (No. 12), with a = 17.5193 Å, b = 10.1962 Å, c = 5.2314 Å, α = 90.00°, β = 107.22° and γ = 90.00°. The distinct sites, in fractional coordinates, are Ho at (0.0000, 0.2407, 0.0000), Er at (0.0000, 0.5000, 0.5000), Er at (0.1214, 0.2296, 0.6213), Er at (0.1974, 0.3475, 0.1972), Tm at (0.0000, 0.0000, 0.5000) and Tm at (0.1710, 0.0000, 0.1707).